4
Lattice="2.698 0.000 0.000 0.000 3.953 0.000 0.000 0.000 7.486" Properties=species:S:1:pos:R:3 comment="KIrRh2, optimized geometry, DFT GGA-PBE" vol_a3_per_atom=20.0 relative_energy_mev_per_atom=121.1 space_group="No. 25" e_tot_ev_per_cell=-22.51 m_tot_mub_per_fu=0.20 pbc="T T T"
K 0.000 0.000 0.000
Ir 1.349 1.976 4.968
Rh 0.000 0.000 3.895
Rh 1.349 1.976 2.436

---

4
Lattice="1.405 0.811 9.966 -1.405 0.811 9.966 0.000 -1.622 9.966" Properties=species:S:1:pos:R:3 comment="KIrRh2, optimized geometry, DFT GGA-PBE" vol_a3_per_atom=17.0 relative_energy_mev_per_atom=114.5 space_group="No. 166" e_tot_ev_per_cell=-22.53 m_tot_mub_per_fu=0.00 pbc="T T T"
K 0.000 0.000 0.000
Ir 0.000 0.000 14.948
Rh 0.000 0.000 7.128
Rh 0.000 0.000 22.769

---

4
Lattice="0.000 3.268 3.268 3.268 0.000 3.268 3.268 3.268 0.000" Properties=species:S:1:pos:R:3 comment="KIrRh2, optimized geometry, DFT GGA-PBE" vol_a3_per_atom=17.4 relative_energy_mev_per_atom=696.5 space_group="No. 216" e_tot_ev_per_cell=-20.20 m_tot_mub_per_fu=3.58 pbc="T T T"
K 0.000 0.000 0.000
Ir 4.901 4.901 4.901
Rh 1.634 1.634 1.634
Rh 3.268 3.268 3.268

---

4
Lattice="4.230 0.000 0.000 0.000 4.230 0.000 0.000 0.000 3.815" Properties=species:S:1:pos:R:3 comment="KIrRh2, optimized geometry, DFT GGA-PBE" vol_a3_per_atom=17.1 relative_energy_mev_per_atom=637.7 space_group="No. 123" e_tot_ev_per_cell=-20.44 m_tot_mub_per_fu=0.01 pbc="T T T"
K 0.000 0.000 0.000
Ir 2.115 2.115 0.000
Rh 0.000 2.115 1.907
Rh 2.115 0.000 1.907

---

4
Lattice="2.714 0.000 0.000 0.000 4.272 0.000 -1.327 0.000 6.954" Properties=species:S:1:pos:R:3 comment="KIrRh2, optimized geometry, DFT GGA-PBE" vol_a3_per_atom=20.2 relative_energy_mev_per_atom=111.2 space_group="No. 6" e_tot_ev_per_cell=-22.54 m_tot_mub_per_fu=0.01 pbc="T T T"
K 0.000 0.000 0.000
Ir -0.006 2.136 4.485
Rh 1.352 2.136 2.207
Rh 1.350 0.000 3.700

---

4
Lattice="-2.121 2.121 3.756 2.121 -2.121 3.756 2.121 2.121 -3.756" Properties=species:S:1:pos:R:3 comment="KIrRh2, optimized geometry, DFT GGA-PBE" vol_a3_per_atom=16.9 relative_energy_mev_per_atom=564.3 space_group="No. 139" e_tot_ev_per_cell=-20.73 m_tot_mub_per_fu=0.00 pbc="T T T"
K 0.000 0.000 0.000
Ir 0.000 0.000 3.756
Rh 2.121 0.000 1.878
Rh 0.000 2.121 1.878

---

15
Lattice="3.662 2.114 6.954 -3.662 2.114 6.954 0.000 -4.228 6.954" Properties=species:S:1:pos:R:3 comment="K3IrRh3S8, optimized geometry, DFT GGA-PBE" vol_a3_per_atom=21.5 space_group="No. 166" e_tot_ev_per_cell=-77.48 m_tot_mub_per_fu=0.00 formation_energy_uncorrected_kj_per_mol_atoms=-65.92 pbc="T T T"
K -1.831 -1.057 6.954
K -1.831 1.057 13.907
K 0.000 2.114 6.954
Ir 0.000 0.000 10.430
Rh -3.662 0.000 10.430
Rh -1.831 1.057 3.477
Rh 1.831 1.057 3.477
S 0.000 0.000 4.628
S -1.832 -1.057 11.586
S 0.000 -2.115 9.274
S -1.832 1.057 9.274
S 1.832 -1.057 11.586
S 0.000 2.115 11.586
S 1.832 1.057 9.274
S 0.000 0.000 16.233

---

16
Lattice="3.919 2.262 7.065 -3.919 2.262 7.065 0.000 -4.525 7.065" Properties=species:S:1:pos:R:3 comment="K4Ir3RhSe8, optimized geometry, DFT GGA-PBE" vol_a3_per_atom=23.5 space_group="No. 166" e_tot_ev_per_cell=-76.58 m_tot_mub_per_fu=0.00 formation_energy_uncorrected_kj_per_mol_atoms=-62.61 pbc="T T T"
K 0.000 0.000 0.000
K -1.959 -1.131 7.065
K -1.959 1.131 14.129
K 0.000 2.262 7.065
Ir -3.919 0.000 10.597
Ir -1.959 1.131 3.532
Ir 1.959 1.131 3.532
Rh 0.000 0.000 10.597
Se 0.000 0.000 4.709
Se -1.964 -1.134 11.777
Se 0.000 -2.267 9.417
Se -1.964 1.134 9.417
Se 1.964 -1.134 11.777
Se 0.000 2.267 11.777
Se 1.964 1.134 9.417
Se 0.000 0.000 16.485

---

12
Lattice="3.388 -5.866 0.000 3.388 5.866 0.000 -2.258 0.000 7.081" Properties=species:S:1:pos:R:3 comment="K3IrRh2Se6, optimized geometry, DFT GGA-PBE" vol_a3_per_atom=23.5 space_group="No. 12" e_tot_ev_per_cell=-56.03 m_tot_mub_per_fu=0.00 formation_energy_uncorrected_kj_per_mol_atoms=-66.50 pbc="T T T"
K 0.000 0.000 0.000
K 3.388 1.960 0.000
K 3.388 -1.960 0.000
Ir 2.258 0.000 3.541
Rh 2.258 3.911 3.541
Rh 2.258 -3.911 3.541
Se 1.131 1.952 2.353
Se 0.003 0.000 4.729
Se 1.131 -1.952 2.353
Se 3.386 1.952 4.728
Se 4.513 0.000 2.352
Se 3.386 -1.952 4.728

---

16
Lattice="3.909 2.257 7.087 -3.909 2.257 7.087 0.000 -4.514 7.087" Properties=species:S:1:pos:R:3 comment="K4IrRh3Se8, optimized geometry, DFT GGA-PBE" vol_a3_per_atom=23.4 space_group="No. 166" e_tot_ev_per_cell=-74.34 m_tot_mub_per_fu=0.00 formation_energy_uncorrected_kj_per_mol_atoms=-67.27 pbc="T T T"
K 0.000 0.000 0.000
K -1.955 -1.128 7.087
K -1.955 1.128 14.174
K 0.000 2.257 7.087
Ir 0.000 0.000 10.631
Rh -3.909 0.000 10.631
Rh -1.955 1.128 3.543
Rh 1.955 1.128 3.544
Se 0.000 0.000 4.737
Se -1.951 -1.126 11.819
Se 0.000 -2.253 9.442
Se -1.951 1.126 9.442
Se 1.951 -1.126 11.819
Se 0.000 2.253 11.819
Se 1.951 1.126 9.442
Se 0.000 0.000 16.524

---

5
Lattice="4.810 0.000 0.000 0.000 4.810 0.000 0.000 0.000 4.810" Properties=species:S:1:pos:R:3 comment="KIrRu3, optimized geometry, DFT GGA-PBE" vol_a3_per_atom=22.3 relative_energy_mev_per_atom=0.0 space_group="No. 221" e_tot_ev_per_cell=-30.10 m_tot_mub_per_fu=1.71 pbc="T T T"
K 0.000 0.000 0.000
Ir 2.405 2.405 2.405
Ru 0.000 2.405 2.405
Ru 2.405 0.000 2.405
Ru 2.405 2.405 0.000

---

4
Lattice="2.731 0.000 0.000 0.000 4.139 0.000 -1.341 0.000 7.338" Properties=species:S:1:pos:R:3 comment="KIrRu2, optimized geometry, DFT GGA-PBE" vol_a3_per_atom=20.7 relative_energy_mev_per_atom=132.8 space_group="No. 6" e_tot_ev_per_cell=-25.52 m_tot_mub_per_fu=0.00 pbc="T T T"
K 0.000 0.000 0.000
Ir 0.014 2.069 4.832
Ru 1.380 2.069 2.540
Ru 1.378 0.000 3.820